No. 1
A plane-wave DFT calculation with PBE was carried out for an optimized crystal structure of CrSi2Au.

abc: 7.9648 3.0471 4.9052
angles: 90.00 100.04 90.00
Element x y z (fractional)
Cr (0.0000, 0.0000, 0.0000)
Cr (0.5000, 0.5000, 0.0000)
Si (0.2328, 0.5000, 0.1851)
Si (0.2672, 0.0000, 0.8149)
Si (0.7328, 0.0000, 0.1851)
Si (0.7672, 0.5000, 0.8149)
Au (0.0000, 0.5000, 0.5000)
Au (0.5000, 0.0000, 0.5000)

D(E_F): 0.587 states/eV/atom
symmetry: C2/m
VASP energy: -46.89 eV per cell
raw formation energy: 0.076 eV/atom

No. 2
A plane-wave DFT calculation with PBE was carried out for an optimized crystal structure of CrSi2Au.

abc: 3.3095 3.3095 5.2254
angles: 90.00 90.00 90.00
Element x y z (fractional)
Cr (0.0000, 0.0000, 0.0000)
Si (0.0000, 0.0000, 0.4512)
Si (0.5000, 0.5000, 0.1628)
Au (0.5000, 0.5000, 0.6646)

D(E_F): 0.552 states/eV/atom
symmetry: P4mm
VASP energy: -23.58 eV per cell
raw formation energy: 0.042 eV/atom

No. 3
A plane-wave DFT calculation with PBE was carried out for an optimized crystal structure of CrSi2Au.

abc: 2.9409 4.5352 4.3355
angles: 90.00 90.00 90.00
Element x y z (fractional)
Cr (0.0000, 0.0000, 0.0000)
Si (0.0000, 0.5000, 0.7511)
Si (0.5000, 0.0000, 0.5390)
Au (0.5000, 0.5000, 0.2473)

D(E_F): 0.603 states/eV/atom
symmetry: Pmm2
VASP energy: -23.31 eV per cell
raw formation energy: 0.109 eV/atom

No. 4
A plane-wave DFT calculation with PBE was carried out for an optimized crystal structure of CrSiAu.

abc: 5.8664 5.8664 5.8664
angles: 90.00 90.00 90.00
Element x y z (fractional)
Cr (0.0000, 0.0000, 0.0000)
Cr (0.0000, 0.5000, 0.5000)
Cr (0.5000, 0.0000, 0.5000)
Cr (0.5000, 0.5000, 0.0000)
Si (0.2500, 0.2500, 0.7500)
Si (0.2500, 0.7500, 0.2500)
Si (0.7500, 0.2500, 0.2500)
Si (0.7500, 0.7500, 0.7500)
Au (0.0000, 0.0000, 0.5000)
Au (0.0000, 0.5000, 0.0000)
Au (0.5000, 0.0000, 0.0000)
Au (0.5000, 0.5000, 0.5000)

D(E_F): 0.520 states/eV/atom
symmetry: F-43m
VASP energy: -72.66 eV per cell
raw formation energy: 0.053 eV/atom